# 1
# Ga2Si2Sb SCAN single point on PBEsol structure
# Volume (Å³/cell): 190.09
# Uncorrected formation energy (eV per atom): 0.345
data_Ga2Si2Sb
_chemical_formula_sum 'Ga4 Si4 Sb2'
_cell_length_a 3.5052
_cell_length_b 3.5052
_cell_length_c 15.4710
_cell_angle_alpha 90.00
_cell_angle_beta 90.00
_cell_angle_gamma 90.00
_space_group_name_H-M_alt 'I 4/m m m'
_space_group_IT_number 139
_space_group_name_Hall '-I 4 2'
loop_
_atom_site_label
_atom_site_type_symbol
_atom_site_fract_x
_atom_site_fract_y
_atom_site_fract_z
Ga1 Ga 0.0000 0.0000 0.1128
Si1 Si 0.0000 0.5000 0.2500
Sb1 Sb 0.0000 0.0000 0.5000

# 2
# Ga2Sn2Sb SCAN single point on PBEsol structure
# Volume (Å³/cell): 242.86
# Uncorrected formation energy (eV per atom): 0.270
data_Ga2Sn2Sb
_chemical_formula_sum 'Ga4 Sn4 Sb2'
_cell_length_a 4.6722
_cell_length_b 4.6722
_cell_length_c 11.1255
_cell_angle_alpha 90.00
_cell_angle_beta 90.00
_cell_angle_gamma 90.00
_space_group_name_H-M_alt 'I 4/m m m'
_space_group_IT_number 139
_space_group_name_Hall '-I 4 2'
loop_
_atom_site_label
_atom_site_type_symbol
_atom_site_fract_x
_atom_site_fract_y
_atom_site_fract_z
Ga1 Ga 0.0000 0.0000 0.1068
Sn1 Sn 0.0000 0.5000 0.2500
Sb1 Sb 0.0000 0.0000 0.5000

# 3
# SrGaSn2Sb SCAN single point on PBEsol structure
# Volume (Å³/cell): 171.78
# Uncorrected formation energy (eV per atom): 0.193
data_SrGaSn2Sb
_chemical_formula_sum 'Sr1 Ga1 Sn2 Sb1'
_cell_length_a 5.7211
_cell_length_b 5.7211
_cell_length_c 5.2484
_cell_angle_alpha 90.00
_cell_angle_beta 90.00
_cell_angle_gamma 90.00
_space_group_name_H-M_alt 'P 4/m m m'
_space_group_IT_number 123
_space_group_name_Hall '-P 4 2'
loop_
_atom_site_label
_atom_site_type_symbol
_atom_site_fract_x
_atom_site_fract_y
_atom_site_fract_z
Sr1 Sr 0.0000 0.0000 0.0000
Ga1 Ga 0.5000 0.5000 0.0000
Sn1 Sn 0.0000 0.5000 0.5000
Sb1 Sb 0.5000 0.5000 0.5000

# 4
# GaTcSb2Te SCAN single point on PBEsol structure
# Volume (Å³/cell): 136.70
# Uncorrected formation energy (eV per atom): 1.210
data_GaTcSb2Te
_chemical_formula_sum 'Ga1 Tc1 Sb2 Te1'
_cell_length_a 5.1192
_cell_length_b 5.1192
_cell_length_c 5.2163
_cell_angle_alpha 90.00
_cell_angle_beta 90.00
_cell_angle_gamma 90.00
_space_group_name_H-M_alt 'P 4/m m m'
_space_group_IT_number 123
_space_group_name_Hall '-P 4 2'
loop_
_atom_site_label
_atom_site_type_symbol
_atom_site_fract_x
_atom_site_fract_y
_atom_site_fract_z
Ga1 Ga 0.0000 0.0000 0.0000
Tc1 Tc 0.5000 0.5000 0.5000
Sb1 Sb 0.0000 0.5000 0.0000
Te1 Te 0.0000 0.0000 0.5000

# 5
# TlGaSbTe2 SCAN single point on PBEsol structure
# Volume (Å³/cell): 153.64
# Uncorrected formation energy (eV per atom): 0.234
data_TlGaSbTe2
_chemical_formula_sum 'Tl1 Ga1 Sb1 Te2'
_cell_length_a 5.4343
_cell_length_b 5.4343
_cell_length_c 5.2024
_cell_angle_alpha 90.00
_cell_angle_beta 90.00
_cell_angle_gamma 90.00
_space_group_name_H-M_alt 'P 4/m m m'
_space_group_IT_number 123
_space_group_name_Hall '-P 4 2'
loop_
_atom_site_label
_atom_site_type_symbol
_atom_site_fract_x
_atom_site_fract_y
_atom_site_fract_z
Tl1 Tl 0.0000 0.0000 0.0000
Ga1 Ga 0.5000 0.5000 0.5000
Sb1 Sb 0.5000 0.5000 0.0000
Te1 Te 0.0000 0.5000 0.5000

# 6
# YGaSb2Te SCAN single point on PBEsol structure
# Volume (Å³/cell): 143.50
# Uncorrected formation energy (eV per atom): 0.066
# Polymorph energy (0 for the lowest one) (meV/atom): 0.0
data_YGaSb2Te
_chemical_formula_sum 'Y1 Ga1 Sb2 Te1'
_cell_length_a 5.1862
_cell_length_b 5.1862
_cell_length_c 5.3353
_cell_angle_alpha 90.00
_cell_angle_beta 90.00
_cell_angle_gamma 90.00
_space_group_name_H-M_alt 'P 4/m m m'
_space_group_IT_number 123
_space_group_name_Hall '-P 4 2'
loop_
_atom_site_label
_atom_site_type_symbol
_atom_site_fract_x
_atom_site_fract_y
_atom_site_fract_z
Y1 Y 0.0000 0.0000 0.0000
Ga1 Ga 0.5000 0.5000 0.5000
Sb1 Sb 0.0000 0.5000 0.5000
Te1 Te 0.5000 0.5000 0.0000

# 7
# YGaSbTe2 SCAN single point on PBEsol structure
# Volume (Å³/cell): 188.99
# Uncorrected formation energy (eV per atom): -0.008
data_YGaSbTe2
_chemical_formula_sum 'Y1 Ga1 Sb1 Te2'
_cell_length_a 5.7519
_cell_length_b 5.7519
_cell_length_c 5.7123
_cell_angle_alpha 90.00
_cell_angle_beta 90.00
_cell_angle_gamma 90.00
_space_group_name_H-M_alt 'P 4/m m m'
_space_group_IT_number 123
_space_group_name_Hall '-P 4 2'
loop_
_atom_site_label
_atom_site_type_symbol
_atom_site_fract_x
_atom_site_fract_y
_atom_site_fract_z
Y1 Y 0.0000 0.0000 0.0000
Ga1 Ga 0.5000 0.5000 0.5000
Sb1 Sb 0.0000 0.0000 0.5000
Te1 Te 0.0000 0.5000 0.0000

# 8
# YGaSb2Te SCAN single point on PBEsol structure
# Volume (Å³/cell): 186.29
# Uncorrected formation energy (eV per atom): 0.224
# Polymorph energy (0 for the lowest one) (meV/atom): 158.2
data_YGaSb2Te
_chemical_formula_sum 'Y1 Ga1 Sb2 Te1'
_cell_length_a 5.7061
_cell_length_b 5.7061
_cell_length_c 5.7215
_cell_angle_alpha 90.00
_cell_angle_beta 90.00
_cell_angle_gamma 90.00
_space_group_name_H-M_alt 'P 4/m m m'
_space_group_IT_number 123
_space_group_name_Hall '-P 4 2'
loop_
_atom_site_label
_atom_site_type_symbol
_atom_site_fract_x
_atom_site_fract_y
_atom_site_fract_z
Y1 Y 0.0000 0.0000 0.0000
Ga1 Ga 0.5000 0.5000 0.5000
Sb1 Sb 0.0000 0.5000 0.0000
Te1 Te 0.0000 0.0000 0.5000

# 9
# Ti10Ga3Sb3 SCAN single point on PBEsol structure
# Volume (Å³/cell): 273.78
# Uncorrected formation energy (eV per atom): -0.569
data_Ti10Ga3Sb3
_chemical_formula_sum 'Ti10 Ga3 Sb3'
_cell_length_a 7.7530
_cell_length_b 7.7530
_cell_length_c 5.2594
_cell_angle_alpha 90.00
_cell_angle_beta 90.00
_cell_angle_gamma 120.00
_space_group_name_H-M_alt 'P -6 2 m'
_space_group_IT_number 189
_space_group_name_Hall 'P -6 -2'
loop_
_atom_site_label
_atom_site_type_symbol
_atom_site_fract_x
_atom_site_fract_y
_atom_site_fract_z
Ti1 Ti 0.0000 0.2385 0.0000
Ti2 Ti 0.0000 0.7504 0.5000
Ti3 Ti 0.3333 0.6667 0.2608
Ga1 Ga 0.0000 0.3866 0.5000
Sb1 Sb 0.0000 0.6022 0.0000

# 10
# YGa2Sb2 SCAN single point on PBEsol structure
# Volume (Å³/cell): 244.53
# Uncorrected formation energy (eV per atom): -0.305
# Polymorph energy (0 for the lowest one) (meV/atom): 0.0
data_YGa2Sb2
_chemical_formula_sum 'Y2 Ga4 Sb4'
_cell_length_a 3.9736
_cell_length_b 3.9736
_cell_length_c 15.4869
_cell_angle_alpha 90.00
_cell_angle_beta 90.00
_cell_angle_gamma 90.00
_space_group_name_H-M_alt 'I 4/m m m'
_space_group_IT_number 139
_space_group_name_Hall '-I 4 2'
loop_
_atom_site_label
_atom_site_type_symbol
_atom_site_fract_x
_atom_site_fract_y
_atom_site_fract_z
Y1 Y 0.0000 0.0000 0.0000
Ga1 Ga 0.0000 0.5000 0.2500
Sb1 Sb 0.0000 0.0000 0.4031

# 11
# YGa3Sb SCAN single point on PBEsol structure
# Volume (Å³/cell): 139.08
# Uncorrected formation energy (eV per atom): 0.443
data_YGa3Sb
_chemical_formula_sum 'Y1 Ga3 Sb1'
_cell_length_a 5.1811
_cell_length_b 5.1811
_cell_length_c 5.1811
_cell_angle_alpha 90.00
_cell_angle_beta 90.00
_cell_angle_gamma 90.00
_space_group_name_H-M_alt 'P m -3 m'
_space_group_IT_number 221
_space_group_name_Hall '-P 4 2 3'
loop_
_atom_site_label
_atom_site_type_symbol
_atom_site_fract_x
_atom_site_fract_y
_atom_site_fract_z
Y1 Y 0.0000 0.0000 0.0000
Ga1 Ga 0.0000 0.5000 0.5000
Sb1 Sb 0.5000 0.5000 0.5000

# 12
# ZnGaSb3 SCAN single point on PBEsol structure
# Volume (Å³/cell): 142.70
# Uncorrected formation energy (eV per atom): 0.763
data_ZnGaSb3
_chemical_formula_sum 'Zn1 Ga1 Sb3'
_cell_length_a 5.2257
_cell_length_b 5.2257
_cell_length_c 5.2257
_cell_angle_alpha 90.00
_cell_angle_beta 90.00
_cell_angle_gamma 90.00
_space_group_name_H-M_alt 'P m -3 m'
_space_group_IT_number 221
_space_group_name_Hall '-P 4 2 3'
loop_
_atom_site_label
_atom_site_type_symbol
_atom_site_fract_x
_atom_site_fract_y
_atom_site_fract_z
Zn1 Zn 0.0000 0.0000 0.0000
Ga1 Ga 0.5000 0.5000 0.5000
Sb1 Sb 0.0000 0.5000 0.5000